Entry 1:
# PBE Er2GaSn4, relaxed
# Total energy in eV per atom: -4.427
# Fermi-level density of states in states/eV/cell: 14.20
# Energy above the lowest structure with this stoichiometry in eV/f.u.: 0.00
# Total magnetization in μB per atom: 0.000
data_Er2GaSn4
_cell_length_a 8.8635
_cell_length_b 8.9377
_cell_length_c 9.3354
_cell_angle_alpha 90.00
_cell_angle_beta 90.00
_cell_angle_gamma 90.00
_space_group_name_H-M_alt 'F m m m'
_space_group_IT_number 69
_space_group_name_Hall '-F 2 2'
loop_
_atom_site_label
_atom_site_type_symbol
_atom_site_fract_x
_atom_site_fract_y
_atom_site_fract_z
Er1 Er 0.2500 0.2500 0.0000
Ga1 Ga 0.0000 0.0000 0.0000
Sn1 Sn 0.0000 0.2500 0.2500
Sn2 Sn 0.2500 0.0000 0.2500

***

Entry 2:
# PBE Li3In2Ga2Au4, relaxed
# Total energy in eV per atom: -3.180
# Fermi-level density of states in states/eV/cell: 1.22
# Total magnetization in μB per atom: 0.000
data_Li3In2Ga2Au4
_cell_length_a 4.6629
_cell_length_b 4.6629
_cell_length_c 10.9264
_cell_angle_alpha 90.00
_cell_angle_beta 90.00
_cell_angle_gamma 120.00
_space_group_name_H-M_alt 'P -3 m 1'
_space_group_IT_number 164
_space_group_name_Hall '-P 3 2"'
loop_
_atom_site_label
_atom_site_type_symbol
_atom_site_fract_x
_atom_site_fract_y
_atom_site_fract_z
Li1 Li 0.0000 0.0000 0.0000
Li2 Li 0.0000 0.0000 0.2608
In1 In 0.3333 0.6667 0.5886
Ga1 Ga 0.3333 0.6667 0.0970
Au1 Au 0.3333 0.6667 0.3330
Au2 Au 0.3333 0.6667 0.8581

***

Entry 3:
# PBE LaP3Rh6, relaxed
# Total energy in eV per atom: -7.291
# Fermi-level density of states in states/eV/cell: 5.57
# Total magnetization in μB per atom: 0.000
data_LaP3Rh6
_cell_length_a 5.7055
_cell_length_b 5.7552
_cell_length_c 6.0702
_cell_angle_alpha 69.73
_cell_angle_beta 89.69
_cell_angle_gamma 61.10
_space_group_name_H-M_alt 'P 1'
_space_group_IT_number 1
loop_
_space_group_symop_operation_xyz
'x,y,z'
loop_
_atom_site_label
_atom_site_type_symbol
_atom_site_fract_x
_atom_site_fract_y
_atom_site_fract_z
La1 La 0.0000 0.0000 0.0000
P1 P 0.0934 0.7758 0.5306
P2 P 0.3826 0.2746 0.1655
P3 P 0.6950 0.5809 0.1773
Rh1 Rh 0.0981 0.2102 0.4365
Rh2 Rh 0.4629 0.5787 0.8447
Rh3 Rh 0.4796 0.0473 0.8952
Rh4 Rh 0.4803 0.4066 0.4546
Rh5 Rh 0.6757 0.8128 0.4270
Rh6 Rh 0.9785 0.5449 0.8901

***

Entry 4:
# PBE TbPmInOs, relaxed
# Total energy in eV per atom: -6.004
# Fermi-level density of states in states/eV/cell: 8.78
# Total magnetization in μB per atom: 0.000
data_TbPmInOs
_cell_length_a 7.2425
_cell_length_b 7.2425
_cell_length_c 7.2425
_cell_angle_alpha 90.00
_cell_angle_beta 90.00
_cell_angle_gamma 90.00
_space_group_name_H-M_alt 'F -4 3 m'
_space_group_IT_number 216
_space_group_name_Hall 'F -4 2 3'
loop_
_atom_site_label
_atom_site_type_symbol
_atom_site_fract_x
_atom_site_fract_y
_atom_site_fract_z
Tb1 Tb 0.0000 0.0000 0.0000
Pm1 Pm 0.0000 0.0000 0.5000
In1 In 0.2500 0.2500 0.7500
Os1 Os 0.2500 0.2500 0.2500

***

| no. | DFT formation energy (eV per atom) |
| --- | --- |
| 1 | -0.404 |
| 2 | -0.418 |
| 3 | -0.765 |
| 4 | -0.167 |